Computed, not measured: a relaxed structure of HfNbFe2Pd at the GGA-PBEsol level of DFT.

ΔH_f (0 K), eV per atom: 1.35
Total moment, μB/f.u.: 2.10
Crystal system: tetragonal

Geometry as POSCAR:
```
HfNbFe2Pd
1.0
-1.2884 -0.5072 4.0937
-0.5830 -4.2233 -0.7067
4.7135 -0.8806 1.3744
Nb Hf Fe Pd
1 1 2 1
direct
0.0000 0.0000 0.0000
0.0000 0.0000 0.5000
0.0000 0.5000 0.0000
0.5000 0.0000 0.0000
0.5000 0.5000 0.5000
```